Density functional theory data (PBE-GGA) for an optimized crystal structure of Dy2GeI.

Properties
The formation energy from raw total energies is -948 meV per atom. The excess energy over the best structure of this formula in the dataset is 0.00 eV/f.u.

Unit cell a=4.2434 b=4.2434 c=7.7830 alpha=74.18 beta=74.18 gamma=60.00
Sites, in units of the cell vectors:
Ge1 0.0000 0.0000 0.0000
I1 0.5000 0.5000 0.5000
Dy1 0.7312 0.7312 0.8065
Dy2 0.2688 0.2688 0.1935


Density functional theory data (PBE-GGA) for an optimized crystal structure of Dy3GeI3.

Properties
The formation energy from raw total energies is -1111 meV per atom.

Unit cell a=7.1820 b=7.1820 c=12.1672 alpha=72.83 beta=72.83 gamma=60.00
Sites, in units of the cell vectors:
Ge1 0.3333 0.3333 0.0000
Ge2 0.6667 0.6667 0.0000
I1 0.4371 0.7714 0.6873
I2 0.8958 0.5629 0.3127
I3 0.5629 0.2286 0.3127
I4 0.1042 0.4371 0.6873
I5 0.2286 0.8958 0.3127
I6 0.7714 0.1042 0.6873
Dy1 0.6181 0.9547 0.1359
Dy2 0.3819 0.0453 0.8641
Dy3 0.0453 0.7087 0.8641
Dy4 0.9547 0.2913 0.1359
Dy5 0.2913 0.6181 0.1359
Dy6 0.7087 0.3819 0.8641


Which value of formation energy from raw total energies does entry 2 give? -1111 meV per atom